# PBE-GGA Mg2CdPb4, optimized geometry
data_Mg2CdPb4
_chemical_formula_sum 'Mg16 Cd8 Pb32'
_cell_length_a 9.256
_cell_length_b 13.601
_cell_length_c 13.642
_cell_angle_alpha 90.00
_cell_angle_beta 90.00
_cell_angle_gamma 90.00
_symmetry_space_group_name_H-M 'F d d d'
_symmetry_Int_Tables_number 70
loop_
_symmetry_equiv_pos_as_xyz
'x,y,z'
'-x,-y,-z'
'-x+1/4,-y+1/4,z'
'x+1/4,y+1/4,-z'
'x,-y+1/4,-z+1/4'
'-x,y+1/4,z+1/4'
'-x+1/4,y,-z+1/4'
'x+1/4,-y,z+1/4'
'x,y+1/2,z+1/2'
'-x,-y+1/2,-z+1/2'
'-x+1/4,-y+3/4,z+1/2'
'x+1/4,y+3/4,-z+1/2'
'x,-y+3/4,-z+3/4'
'-x,y+3/4,z+3/4'
'-x+1/4,y+1/2,-z+3/4'
'x+1/4,-y+1/2,z+3/4'
'x+1/2,y,z+1/2'
'-x+1/2,-y,-z+1/2'
'-x+3/4,-y+1/4,z+1/2'
'x+3/4,y+1/4,-z+1/2'
'x+1/2,-y+1/4,-z+3/4'
'-x+1/2,y+1/4,z+3/4'
'-x+3/4,y,-z+3/4'
'x+3/4,-y,z+3/4'
'x+1/2,y+1/2,z'
'-x+1/2,-y+1/2,-z'
'-x+3/4,-y+3/4,z'
'x+3/4,y+3/4,-z'
'x+1/2,-y+3/4,-z+1/4'
'-x+1/2,y+3/4,z+1/4'
'-x+3/4,y+1/2,-z+1/4'
'x+3/4,-y+1/2,z+1/4'
loop_
_atom_site_label
_atom_site_type_symbol
_atom_site_fract_x
_atom_site_fract_y
_atom_site_fract_z
Mg1 Mg 0.000 0.000 0.000
Cd1 Cd 0.125 0.125 0.625
Pb1 Pb 0.084 0.283 0.466
# E in eV/atom: -2.552
# Formation energy from the elements in meV/atom: 153